Entry 1:
Zn3IrC | PBE-GGA | optimized geometry

Summary:
E_form ... 1.5723 eV per atom
Relative energy among the computed polymorphs ... 867 meV/atom
Final energy ... -2.81 eV/atom
Space group ... Pm-3m, No. 221

The structure in POSCAR format:
```
Zn3IrC
1.0
-1.987 4.364 0.118
-0.425 -0.064 -4.778
-4.345 -1.990 0.414
C Zn Ir
1 3 1
Cartesian
-3.379 1.155 -2.123
-0.213 -0.032 -2.389
-0.994 2.182 0.059
-2.173 -0.995 0.207
0.000 0.000 0.000
```

=====

Entry 2:
ZnIr3C | PBE-GGA | optimized geometry

Summary:
E_form ... 2.9423 eV per atom
Relative energy among the computed polymorphs ... 2682 meV/atom
Final energy ... -4.47 eV/atom
Space group ... Pm-3m, No. 221

The structure in POSCAR format:
```
ZnIr3C
1.0
-1.148 -1.177 4.199
4.334 0.169 1.233
-0.480 4.350 1.089
Ir Zn C
3 1 1
Cartesian
-0.240 2.175 0.544
-0.574 -0.589 2.099
2.167 0.085 0.617
0.000 0.000 0.000
1.353 1.671 3.260
```

=====

Entry 3:
ZnIr3C | PBE-GGA | optimized geometry

Summary:
E_form ... 0.2604 eV per atom
Relative energy among the computed polymorphs ... 0 meV/atom
Final energy ... -7.16 eV/atom
Space group ... Pm-3m, No. 221

The structure in POSCAR format:
```
ZnIr3C
1.0
-1.281 -0.772 3.794
-2.640 -2.749 -1.451
2.832 -2.912 0.364
C Ir Zn
1 3 1
Cartesian
0.000 0.000 0.000
1.416 -1.456 0.182
-0.641 -0.386 1.897
-1.320 -1.374 -0.725
-0.545 -3.216 1.353
```

=====

Entry 4:
Zn3IrC | PBE-GGA | optimized geometry

Summary:
E_form ... 0.7053 eV per atom
Relative energy among the computed polymorphs ... 0 meV/atom
Final energy ... -3.68 eV/atom
Space group ... Pm-3m, No. 221

The structure in POSCAR format:
```
Zn3IrC
1.0
-1.536 -3.749 -0.180
2.395 -1.129 3.072
-2.890 1.058 2.642
Zn C Ir
3 1 1
Cartesian
-1.445 0.529 1.321
-0.768 -1.874 -0.090
1.198 -0.564 1.536
0.000 0.000 0.000
-1.015 -1.910 2.767
```

=====

Entry 5:
ZnIrC2 | PBE-GGA | optimized geometry

Summary:
E_form ... 0.8955 eV per atom
Final energy ... -6.25 eV/atom
Space group ... I-42d, No. 122

The structure in POSCAR format:
```
ZnIrC2
1.0
-3.325 -0.728 -3.338
-0.645 -4.440 1.610
-5.214 -1.068 2.023
C Zn Ir
4 2 2
Cartesian
-7.406 -5.473 0.060
-2.010 -3.109 1.208
-5.378 -2.589 0.815
-3.574 -1.301 -1.491
-1.985 -2.584 -0.864
-3.922 -4.046 1.385
0.000 0.000 0.000
-5.262 -2.190 -1.089
```

=====

Entry 6:
Zr6Ir3C | PBE-GGA | optimized geometry

Summary:
E_form ... -0.5912 eV per atom
Final energy ... -9.30 eV/atom
Space group ... P2_1/c, No. 14

The structure in POSCAR format:
```
Zr6Ir3C
1.0
-0.449 5.753 1.439
-7.104 -0.666 0.445
0.704 -1.503 8.985
Ir C Zr
6 2 12
Cartesian
-3.777 2.543 0.942
0.352 -0.752 4.492
-0.746 1.988 3.023
-6.103 1.595 7.847
-4.158 -0.335 2.505
-2.692 3.919 8.365
-3.425 1.792 5.435
0.000 0.000 0.000
-4.763 3.072 9.923
-2.231 0.108 4.417
-2.086 0.512 0.947
-1.369 2.692 6.122
-4.618 3.475 6.452
-0.723 2.362 9.542
-6.126 1.221 1.327
0.085 -0.292 7.104
-3.571 0.509 7.363
-5.481 0.892 4.748
-6.934 3.876 3.765
-3.278 3.075 3.506
```

=====

Entry 7:
ZrIrC3 | PBE-GGA | optimized geometry

Summary:
E_form ... 1.5355 eV per atom
Relative energy among the computed polymorphs ... 0 meV/atom
Final energy ... -7.48 eV/atom
Space group ... Pm-3m, No. 221

The structure in POSCAR format:
```
ZrIrC3
1.0
-0.626 -0.470 -3.885
3.110 -2.449 -0.205
-2.376 -3.081 0.755
Ir C Zr
1 3 1
Cartesian
0.000 0.000 0.000
1.555 -1.224 -0.102
-1.188 -1.540 0.378
-0.313 -0.235 -1.943
0.054 -3.000 -1.667
```

=====

Entry 8:
ZrIrC2 | PBE-GGA | optimized geometry

Summary:
E_form ... 0.2383 eV per atom
Relative energy among the computed polymorphs ... 0 meV/atom
Final energy ... -8.73 eV/atom
Space group ... I-42d, No. 122

The structure in POSCAR format:
```
ZrIrC2
1.0
-2.211 2.395 3.380
-4.143 -1.276 -1.806
-3.180 -3.653 3.770
Ir Zr C
2 2 4
Cartesian
0.000 0.000 0.000
-4.284 -0.349 3.969
-3.177 0.560 0.787
-5.250 -2.184 1.376
-8.141 -1.820 4.119
-3.556 -1.525 0.076
-4.571 -2.259 3.503
-2.800 0.538 2.990
```